Entry 1:
Density functional theory data (GGA-PBE) for an optimized crystal structure of Rb2SrCrCd.

Unit cell a=6.9199 b=6.9199 c=5.5742 alpha=90.00 beta=90.00 gamma=90.00
With the nearest neighbours (Å) after each atom.
Space group P4/mmm (No. 123)
Asymmetric unit:
Rb1 0.0000 0.5000 0.0000 (multiplicity 2)  2 Cr 3.46
Sr1 0.0000 0.0000 0.5000 (multiplicity 1)  8 Rb 4.44, 4 Cd 4.89
Cr1 0.5000 0.5000 0.0000 (multiplicity 1)  2 Cd 2.79
Cd1 0.5000 0.5000 0.5000 (multiplicity 1)  2 Cr 2.79

Computed properties:
The formation energy comes out at 0.625 eV/atom. The calculation puts the density at 2.63 g/cm³. The density of states at the Fermi level comes out at 4.74 states/eV per cell. The value obtained for the uncorrected energy is -2.2060 eV per atom.



Entry 2:
Density functional theory data (GGA-PBE) for an optimized crystal structure of RbCrCdTe3.

Unit cell a=9.2334 b=4.2951 c=10.8942 alpha=90.00 beta=111.29 gamma=90.00
With the nearest neighbours (Å) after each atom.
Space group P2_1/m (No. 11)
Asymmetric unit:
Rb1 0.2274 0.2500 0.2556 (multiplicity 2)  7 Te 3.72-3.94
Cr1 0.3320 0.7500 0.8629 (multiplicity 2)  5 Te 2.72-2.87
Cd1 0.0757 0.2500 0.6117 (multiplicity 2)  4 Te 2.77-2.98
Te1 0.1343 0.2500 0.8796 (multiplicity 2)  1 Cd 2.77, 2 Cr 2.87
Te2 0.2575 0.7500 0.5668 (multiplicity 2)  3 Cd 2.87-2.98, 1 Cr 3.04
Te3 0.4723 0.7500 0.1296 (multiplicity 2)  3 Cr 2.72-2.79

Computed properties:
The calculation puts the density at 5.22 g/cm³. The uncorrected formation energy is -0.4819 eV per atom. The value obtained for the uncorrected energy is -3.9704 eV per atom.



Entry 3:
Density functional theory data (GGA-PBE) for an optimized crystal structure of Rb2ZnCrCd.

Unit cell a=6.8719 b=6.8719 c=5.4305 alpha=90.00 beta=90.00 gamma=90.00
With the nearest neighbours (Å) after each atom.
Space group P4/mmm (No. 123)
Asymmetric unit:
Rb1 0.0000 0.5000 0.0000 (multiplicity 2)  2 Cd 3.44
Zn1 0.0000 0.0000 0.5000 (multiplicity 1)  8 Rb 4.38, 4 Cr 4.86
Cr1 0.5000 0.5000 0.5000 (multiplicity 1)  2 Cd 2.72
Cd1 0.5000 0.5000 0.0000 (multiplicity 1)  2 Cr 2.72

Computed properties:
The formation energy comes out at 0.671 eV/atom. The calculation puts the density at 2.59 g/cm³. The density of states at the Fermi level comes out at 3.05 states/eV per cell. The value obtained for the uncorrected energy is -2.0787 eV per atom.



Entry 4:
Density functional theory data (GGA-PBE) for an optimized crystal structure of CrCdRe.

Unit cell a=5.9818 b=5.9818 c=5.9818 alpha=90.00 beta=90.00 gamma=90.00
With the nearest neighbours (Å) after each atom.
Space group F-43m (No. 216)
Asymmetric unit:
Cr1 0.0000 0.0000 0.0000 (multiplicity 4)  4 Cd 2.59, 4 Re 2.59
Cd1 0.2500 0.2500 0.7500 (multiplicity 4)  4 Cr 2.59
Re1 0.2500 0.2500 0.2500 (multiplicity 4)  4 Cr 2.59

Computed properties:
The formation energy comes out at 0.959 eV/atom. The calculation puts the density at 10.88 g/cm³. The energy above the most stable polymorph in this dataset is 1.77 eV per formula unit. The density of states at the Fermi level comes out at 10.69 states/eV per cell. The value obtained for the uncorrected energy is -6.7029 eV per atom.



Entry 5:
Density functional theory data (GGA-PBE) for an optimized crystal structure of Cr2CdRe.

Unit cell a=7.0143 b=7.0143 c=5.4950 alpha=90.00 beta=90.00 gamma=90.00
With the nearest neighbours (Å) after each atom.
Space group I-42d (No. 122)
Asymmetric unit:
Cr1 0.2047 0.2500 0.1250 (multiplicity 8)  2 Re 2.37
Cd1 0.0000 0.0000 0.5000 (multiplicity 4)  2 Re 2.75, 8 Cr 2.80-3.06
Re1 0.0000 0.0000 0.0000 (multiplicity 4)  4 Cr 2.37

Computed properties:
The formation energy comes out at 0.945 eV/atom. The calculation puts the density at 9.89 g/cm³. The density of states at the Fermi level comes out at 8.09 states/eV per cell. The value obtained for the uncorrected energy is -7.2070 eV per atom.



Entry 6:
Density functional theory data (GGA-PBE) for an optimized crystal structure of CrCdRe.

Unit cell a=2.8562 b=2.8562 c=6.8210 alpha=90.00 beta=90.00 gamma=120.00
With the nearest neighbours (Å) after each atom.
Space group P3m1 (No. 156)
Asymmetric unit:
Cr1 0.0000 0.0000 0.0000 (multiplicity 1)  3 Re 2.45
Cd1 0.6667 0.3333 0.6445 (multiplicity 1)  6 Cd 2.86, 3 Cr 2.93, 3 Re 3.06
Re1 0.3333 0.6667 0.2661 (multiplicity 1)  3 Cr 2.45

Computed properties:
The formation energy comes out at 0.428 eV/atom. The calculation puts the density at 12.08 g/cm³. The energy above the most stable polymorph in this dataset is 0.18 eV per formula unit. The density of states at the Fermi level comes out at 2.65 states/eV per cell. The value obtained for the uncorrected energy is -7.2343 eV per atom.